Here is a geometry-optimized SmDyIrPt structure from the Alexandria database. Energies are from PBE-GGA.

Results
- Formation enthalpy at 0 K: -980 meV/atom
- Energy above the most stable polymorph in this dataset: 0.000 eV per atom

Cell: 3.879 4.313 5.726 Å, 90.00 109.80 90.00°
Atoms (fractional coordinates):
Ir1 0.412 0.000 0.824
Dy1 0.860 0.500 0.719
Pt1 0.584 0.500 0.167
Sm1 0.145 0.000 0.289